No. 1
Here is crystalline SiH6N2F6 at its relaxed geometry from the Alexandria database. Energies are from PBEsol.

- total energy (eV per atom) = -5.333
- space group = Pbca (61)
- ρ (Mg/m³) = 2.4
- D(E_F) (states/eV/cell) = 0.0

Cell: 7.4555 7.7443 8.4796 Å, 90.00 90.00 90.00°
Last column: nearest neighbours and their distance in Å.
Fractional positions:
F1 0.8489 0.6261 0.5985  1 H 1.60, 1 Si 1.71
F2 0.1511 0.8739 0.0985  1 H 1.60, 1 Si 1.71
F3 0.3489 0.3739 0.9015  1 H 1.60, 1 Si 1.71
F4 0.6511 0.1261 0.4015  1 H 1.60, 1 Si 1.71
F5 0.1511 0.3739 0.4015  1 H 1.60, 1 Si 1.71
F6 0.8489 0.1261 0.9015  1 H 1.60, 1 Si 1.71
F7 0.6511 0.6261 0.0985  1 H 1.60, 1 Si 1.71
F8 0.3489 0.8739 0.5985  1 H 1.60, 1 Si 1.71
F9 0.8371 0.4336 0.3749  1 Si 1.69
F10 0.1629 0.0664 0.8749  1 Si 1.69
F11 0.3371 0.5664 0.1251  1 Si 1.69
F12 0.6629 0.9336 0.6251  1 Si 1.69
F13 0.1629 0.5664 0.6251  1 Si 1.69
F14 0.8371 0.9336 0.1251  1 Si 1.69
F15 0.6629 0.4336 0.8749  1 Si 1.69
F16 0.3371 0.0664 0.3749  1 Si 1.69
F17 0.0489 0.6677 0.3743  1 H 1.62, 1 Si 1.72
F18 0.9511 0.8323 0.8743  1 H 1.62, 1 Si 1.72
F19 0.5489 0.3323 0.1257  1 H 1.62, 1 Si 1.72
F20 0.4511 0.1677 0.6257  1 H 1.62, 1 Si 1.72
F21 0.9511 0.3323 0.6257  1 H 1.62, 1 Si 1.72
F22 0.0489 0.1677 0.1257  1 H 1.62, 1 Si 1.72
F23 0.4511 0.6677 0.8743  1 H 1.62, 1 Si 1.72
F24 0.5489 0.8323 0.3743  1 H 1.62, 1 Si 1.72
H1 0.1487 0.4494 0.8970  1 N 1.06
H2 0.8513 0.0506 0.3970  1 N 1.06
H3 0.6487 0.5506 0.6030  1 N 1.06
H4 0.3513 0.9494 0.1030  1 N 1.06
H5 0.8513 0.5506 0.1030  1 N 1.06
H6 0.1487 0.9494 0.6030  1 N 1.06
H7 0.3513 0.4494 0.3970  1 N 1.06
H8 0.6487 0.0506 0.8970  1 N 1.06
H9 0.9205 0.4284 0.8592  1 N 1.04
H10 0.0795 0.0716 0.3592  1 N 1.04
H11 0.4205 0.5716 0.6408  1 N 1.04
H12 0.5795 0.9284 0.1408  1 N 1.04
H13 0.0795 0.5716 0.1408  1 N 1.04
H14 0.9205 0.9284 0.6408  1 N 1.04
H15 0.5795 0.4284 0.3592  1 N 1.04
H16 0.4205 0.0716 0.8592  1 N 1.04
H17 0.0092 0.6308 0.8781  1 N 1.06
H18 0.9908 0.8692 0.3781  1 N 1.06
H19 0.5092 0.3692 0.6219  1 N 1.06
H20 0.4908 0.1308 0.1219  1 N 1.06
H21 0.9908 0.3692 0.1219  1 N 1.06
H22 0.0092 0.1308 0.6219  1 N 1.06
H23 0.4908 0.6308 0.3781  1 N 1.06
H24 0.5092 0.8692 0.8781  1 N 1.06
N1 0.0185 0.5011 0.9171  3 H 1.04-1.06
N2 0.9815 0.9989 0.4171  3 H 1.04-1.06
N3 0.5185 0.4989 0.5829  3 H 1.04-1.06
N4 0.4815 0.0011 0.0829  3 H 1.04-1.06
N5 0.9815 0.4989 0.0829  3 H 1.04-1.06
N6 0.0185 0.0011 0.5829  3 H 1.04-1.06
N7 0.4815 0.5011 0.4171  3 H 1.04-1.06
N8 0.5185 0.9989 0.9171  3 H 1.04-1.06
Si1 0.0000 0.5000 0.5000  6 F 1.69-1.72
Si2 0.0000 0.0000 0.0000  6 F 1.69-1.72
Si3 0.5000 0.5000 0.0000  6 F 1.69-1.72
Si4 0.5000 0.0000 0.5000  6 F 1.69-1.72

No. 2
Here is crystalline LaMgCo2 at its relaxed geometry from the Alexandria database. Energies are from PBEsol.

- total energy (eV per atom) = -5.413
- space group = P2/m (10)
- energy of formation (eV per formula unit) = 0.89
- ρ (Mg/m³) = 7.2
- D(E_F) (states/eV/cell) = 3.9

Cell: 3.3853 3.0412 6.4961 Å, 105.38 90.00 90.00°
Last column: nearest neighbours and their distance in Å.
Fractional positions:
Co1 0.0000 0.8942 0.7937  1 Co 2.59, 2 La 2.59, 4 Mg 2.60-2.64
Co2 0.0000 0.1058 0.2063  1 Co 2.59, 2 La 2.59, 4 Mg 2.60-2.64
La1 0.5000 0.5000 0.5000  4 Co 2.59
Mg1 0.5000 0.5000 0.0000  8 Co 2.60-2.64

No. 3
Here is crystalline SiTeW2 at its relaxed geometry from the Alexandria database. Energies are from PBEsol.

- total energy (eV per atom) = -8.794
- space group = Fm-3m (225)
- ρ (Mg/m³) = 13.7
- formation energy from raw total energies (eV/atom) = 0.43
- E above lowest polymorph (meV/atom) = 70
- D(E_F) (states/eV/cell) = 2.8

Cell: 4.4806 4.4806 4.4806 Å, 60.00 60.00 60.00°
Last column: nearest neighbours and their distance in Å.
Fractional positions:
Si1 0.0000 0.0000 0.0000  8 W 2.74
Te1 0.5000 0.5000 0.5000  8 W 2.74
W1 0.2500 0.2500 0.2500  4 Si 2.74, 4 Te 2.74
W2 0.7500 0.7500 0.7500  4 Si 2.74, 4 Te 2.74

No. 4
Here is crystalline NiIrSe2 at its relaxed geometry from the Alexandria database. Energies are from PBEsol.

- total energy (eV per atom) = -5.394
- space group = Pmmm (47)
- ρ (Mg/m³) = 11.3
- formation energy from raw total energies (eV/atom) = 0.53
- D(E_F) (states/eV/cell) = 2.8

Cell: 2.9429 4.2345 4.8336 Å, 90.00 90.00 90.00°
Last column: nearest neighbours and their distance in Å.
Fractional positions:
Ir1 0.5000 0.5000 0.0000  4 Se 2.58, 4 Ni 2.83
Ni1 0.0000 0.5000 0.5000  4 Se 2.58, 4 Ir 2.83
Se1 0.0000 0.0000 0.0000  4 Ir 2.58, 4 Se 2.83
Se2 0.5000 0.0000 0.5000  4 Ni 2.58, 4 Se 2.83

No. 5
Here is crystalline Cu2PbAu at its relaxed geometry from the Alexandria database. Energies are from PBEsol.

- total energy (eV per atom) = -3.903
- space group = F-43m (216)
- energy of formation (eV per formula unit) = 0.98
- ρ (Mg/m³) = 13.1
- D(E_F) (states/eV/cell) = 0.8

Cell: 4.5622 4.5622 4.5622 Å, 60.00 60.00 60.00°
Last column: nearest neighbours and their distance in Å.
Fractional positions:
Au1 0.5000 0.5000 0.5000  4 Pb 2.79, 4 Cu 2.79
Cu1 0.0000 0.0000 0.0000  4 Pb 2.79, 4 Cu 2.79
Cu2 0.2500 0.2500 0.2500  4 Cu 2.79, 4 Au 2.79
Pb1 0.7500 0.7500 0.7500  4 Cu 2.79, 4 Au 2.79

No. 6
Here is crystalline AlSbSe2 at its relaxed geometry from the Alexandria database. Energies are from PBEsol.

- total energy (eV per atom) = -4.126
- space group = Cmm2 (35)
- ρ (Mg/m³) = 5.4
- formation energy from raw total energies (eV/atom) = -0.04
- E above lowest polymorph (meV/atom) = 464
- D(E_F) (states/eV/cell) = 1.6

Cell: 3.8447 3.4841 8.4700 Å, 90.00 90.00 123.49°
Last column: nearest neighbours and their distance in Å.
Fractional positions:
Sb1 0.5000 0.0000 0.7447  2 Se 2.69, 2 Al 2.97
Al1 0.0000 0.0000 0.4779  2 Se 2.39
Se1 0.0000 0.0000 0.9668  2 Sb 2.69
Se2 0.5000 0.0000 0.3106  2 Al 2.39

- Among the records above, which one has the lowest ρ?
  SiH6N2F6